Arrangement A

Compound: NpZnRe
Source: the Alexandria database
Functional: GGA-PBE
Structure: optimized geometry

For the density of states at the Fermi level, the calculation gives 7.7 states/eV per cell.

The space group is I4mm (No. 107) and the conventional cell measures 3.1442, 3.1442 and 11.1863 Å, with angles of 90.00, 90.00 and 90.00 degrees. Symmetry generates all atoms from Np at (0.0000, 0.0000, 0.0000), Zn at (0.0000, 0.0000, 0.7100) and Re at (0.0000, 0.0000, 0.3476).

---

Arrangement B

Compound: NpZnRe
Source: the Alexandria database
Functional: GGA-PBE
Structure: optimized geometry

For the density of states at the Fermi level, the calculation gives 11.9 states/eV per cell.

The space group is Cmcm (No. 63) and the conventional cell measures 4.6486, 10.2892 and 4.3567 Å, with angles of 90.00, 90.00 and 90.00 degrees. Symmetry generates all atoms from Np at (0.0000, 0.0726, 0.2500), Zn at (0.0000, 0.3916, 0.2500) and Re at (0.0000, 0.2310, 0.7500).

---

Stability, highest: arrangement B

---

Arrangement A

Compound: NpSbRh6
Source: the Alexandria database
Functional: GGA-PBE
Structure: optimized geometry

For the density of states at the Fermi level, the calculation gives 11.5 states/eV per cell.

The space group is P4/mmm (No. 123) and the conventional cell measures 5.6264, 5.6264 and 4.0212 Å, with angles of 90.00, 90.00 and 90.00 degrees. Symmetry generates all atoms from Np at (0.0000, 0.0000, 0.0000), Sb at (0.5000, 0.5000, 0.0000), Rh at (0.0000, 0.5000, 0.0000) and Rh at (0.2448, 0.2448, 0.5000).

---

Arrangement B

Compound: NpSbRh6
Source: the Alexandria database
Functional: GGA-PBE
Structure: optimized geometry

For the density of states at the Fermi level, the calculation gives 11.5 states/eV per cell.

The space group is P-1 (No. 2) and the conventional cell measures 5.1230, 5.1263 and 5.1336 Å, with angles of 93.97, 93.98 and 93.99 degrees. Symmetry generates all atoms from Np at (0.0000, 0.0000, 0.0000), Sb at (0.5000, 0.5000, 0.5000), Rh at (0.0617, 0.7509, 0.4233), Rh at (0.2492, 0.5763, 0.9384) and Rh at (0.4243, 0.0613, 0.7509).

---

Stability, highest: arrangement A